Model i:
Computed, not measured: CdSI2 after structural relaxation at the PBE-GGA level of DFT.

Summary:
Space-group type   I-42d, No. 122
Crystal system   tetragonal
Total magnetic moment   4.00 Bohr magnetons per cell
N(E_F)   0.310 states/eV/cell

a b c (Å): 8.115 8.115 7.204
angles (deg): 55.72 55.72 90.00
Last column: magnetic moment on the atom in μB.
Sites, in units of the cell vectors:
S: 0.500 0.500 0.000  0.94
Cd: 0.000 0.000 0.000  0.02
I: 0.375 0.339 0.750  0.15
S: 0.250 0.750 0.500  0.94
Cd: 0.750 0.250 0.500  0.02
I: 0.875 0.911 0.750  0.14
I: 0.089 0.625 0.250  0.14
I: 0.661 0.125 0.250  0.15

---

Model ii:
Computed, not measured: CdSI2 after structural relaxation at the PBE-GGA level of DFT.

Summary:
Space-group type   Fm-3m, No. 225
Crystal system   cubic
Total magnetic moment   2.00 Bohr magnetons per cell
N(E_F)   2.251 states/eV/cell

a b c (Å): 5.430 5.430 5.430
angles (deg): 60.00 60.00 60.00
Last column: magnetic moment on the atom in μB.
Sites, in units of the cell vectors:
Cd: 0.500 0.500 0.500  -0.02
I: 0.250 0.250 0.250  0.22
I: 0.750 0.750 0.750  0.22
S: 0.000 0.000 0.000  0.88

---

Most stable = model i

---

Model i:
Computed, not measured: Cd2SI after structural relaxation at the PBE-GGA level of DFT.

Summary:
Space-group type   P3_221, No. 154
Crystal system   trigonal
Total magnetic moment   0.00 Bohr magnetons per cell
N(E_F)   4.280 states/eV/cell

a b c (Å): 4.355 4.355 24.161
angles (deg): 90.00 90.00 60.00
Sites, in units of the cell vectors:
I: 0.665 0.335 0.333
Cd: 0.663 0.333 0.216
I: 0.335 0.000 0.667
Cd: 0.333 0.004 0.550
S: 0.670 0.330 0.833
S: 0.330 0.000 0.167
Cd: 0.996 0.667 0.117
I: 0.000 0.665 0.000
Cd: 0.337 0.996 0.784
S: 0.000 0.670 0.500
Cd: 0.667 0.337 0.450
Cd: 0.004 0.663 0.883

---

Model ii:
Computed, not measured: Cd2SI after structural relaxation at the PBE-GGA level of DFT.

Summary:
Space-group type   Fm-3m, No. 225
Crystal system   cubic
Total magnetic moment   0.00 Bohr magnetons per cell
N(E_F)   1.447 states/eV/cell

a b c (Å): 5.189 5.189 5.189
angles (deg): 60.00 60.00 60.00
Sites, in units of the cell vectors:
Cd: 0.250 0.250 0.250
S: 0.000 0.000 0.000
I: 0.500 0.500 0.500
Cd: 0.750 0.750 0.750

---

Most stable = model i

---

Model i:
Computed, not measured: CdSb2SI after structural relaxation at the PBE-GGA level of DFT.

Summary:
Space-group type   P4/mmm, No. 123
Crystal system   tetragonal
Total magnetic moment   0.00 Bohr magnetons per cell
N(E_F)   4.667 states/eV/cell

a b c (Å): 5.280 5.280 5.641
angles (deg): 90.00 90.00 90.00
Sites, in units of the cell vectors:
I: 0.000 0.000 0.500
S: 0.000 0.000 0.000
Cd: 0.500 0.500 0.500
Sb: 0.500 0.000 0.000
Sb: 0.000 0.500 0.000

---

Model ii:
Computed, not measured: CdSb2SI after structural relaxation at the PBE-GGA level of DFT.

Summary:
Space-group type   P4/mmm, No. 123
Crystal system   tetragonal
Total magnetic moment   0.00 Bohr magnetons per cell
N(E_F)   5.326 states/eV/cell

a b c (Å): 5.608 5.608 5.526
angles (deg): 90.00 90.00 90.00
Sites, in units of the cell vectors:
Cd: 0.000 0.000 0.000
Sb: 0.000 0.500 0.000
I: 0.000 0.000 0.500
Sb: 0.500 0.000 0.000
S: 0.500 0.500 0.500

---

Most stable = model i

---

Model i:
Computed, not measured: CdSbSI2 after structural relaxation at the PBE-GGA level of DFT.

Summary:
Space-group type   P4/mmm, No. 123
Crystal system   tetragonal
Total magnetic moment   0.00 Bohr magnetons per cell
N(E_F)   7.613 states/eV/cell

a b c (Å): 5.610 5.610 5.856
angles (deg): 90.00 90.00 90.00
Sites, in units of the cell vectors:
Cd: 0.000 0.000 0.000
I: 0.500 0.000 0.000
I: 0.000 0.500 0.000
Sb: 0.000 0.000 0.500
S: 0.500 0.500 0.500

---

Model ii:
Computed, not measured: CdSbSI2 after structural relaxation at the PBE-GGA level of DFT.

Summary:
Space-group type   P4/mmm, No. 123
Crystal system   tetragonal
Total magnetic moment   0.47 Bohr magnetons per cell
N(E_F)   4.469 states/eV/cell

a b c (Å): 5.752 5.752 5.231
angles (deg): 90.00 90.00 90.00
Last column: magnetic moment on the atom in μB.
Sites, in units of the cell vectors:
S: 0.000 0.000 0.000  -0.01
Sb: 0.000 0.000 0.500  0.20
I: 0.500 0.000 0.000  0.01
I: 0.000 0.500 0.000  0.01
Cd: 0.500 0.500 0.500  -0.02

---

Most stable = model ii